1.
VASP calculation (PBE-GGA) on a relaxed structure of KCo2Pb.

Structure (CIF):
```
data_KCo2Pb
_chemical_formula_sum 'K1 Co2 Pb1'
_space_group_name_H-M_alt 'P 4/m m m'
_space_group_IT_number 123
_space_group_name_Hall '-P 4 2'
_cell_length_a 4.903
_cell_length_b 4.903
_cell_length_c 3.306
_cell_angle_alpha 90.00
_cell_angle_beta 90.00
_cell_angle_gamma 90.00
loop_
_atom_site_label
_atom_site_type_symbol
_atom_site_fract_x
_atom_site_fract_y
_atom_site_fract_z
K1 K 0.000 0.000 0.000
Co1 Co 0.000 0.500 0.500
Pb1 Pb 0.500 0.500 0.000
```

The value obtained for the energy above the most stable polymorph in this dataset is 0.7023 eV per atom. As for the crystal system: tetragonal. Its volume is 19.87 Å³ per atom. Its energy relative to the elements is 1.056 eV per atom.


2.
VASP calculation (PBE-GGA) on a relaxed structure of TiInAg.

Structure (CIF):
```
data_TiInAg
_chemical_formula_sum 'Ti2 In2 Ag2'
_space_group_name_H-M_alt 'P 1 21/m 1'
_space_group_IT_number 11
_space_group_name_Hall '-P 2yb'
_cell_length_a 3.078
_cell_length_b 4.794
_cell_length_c 7.877
_cell_angle_alpha 90.00
_cell_angle_beta 101.23
_cell_angle_gamma 90.00
loop_
_atom_site_label
_atom_site_type_symbol
_atom_site_fract_x
_atom_site_fract_y
_atom_site_fract_z
Ti1 Ti 0.054 0.250 0.104
In1 In 0.388 0.250 0.775
Ag1 Ag 0.281 0.750 0.564
```

As for the crystal system: monoclinic. Its volume is 19.00 Å³ per atom. Its energy relative to the elements is -0.064 eV per atom.


3.
VASP calculation (PBE-GGA) on a relaxed structure of NaHg2H.

Structure (CIF):
```
data_NaHg2H
_chemical_formula_sum 'Na4 Hg8 H4'
_space_group_name_H-M_alt 'I -4 2 d'
_space_group_IT_number 122
_space_group_name_Hall 'I -4 2bw'
_cell_length_a 7.803
_cell_length_b 7.803
_cell_length_c 5.385
_cell_angle_alpha 90.00
_cell_angle_beta 90.00
_cell_angle_gamma 90.00
loop_
_atom_site_label
_atom_site_type_symbol
_atom_site_fract_x
_atom_site_fract_y
_atom_site_fract_z
Na1 Na 0.000 0.000 0.000
Hg1 Hg 0.167 0.250 0.625
H1 H 0.000 0.000 0.500
```

The value obtained for the energy above the most stable polymorph in this dataset is 0.1066 eV per atom. As for the crystal system: tetragonal. Its volume is 20.49 Å³ per atom.


4.
VASP calculation (PBE-GGA) on a relaxed structure of La2TbZn9.

Structure (CIF):
```
data_La2TbZn9
_chemical_formula_sum 'La6 Tb3 Zn27'
_space_group_name_H-M_alt 'R -3 m'
_space_group_IT_number 166
_space_group_name_Hall '-R 3 2"'
_cell_length_a 5.5185
_cell_length_b 5.5185
_cell_length_c 26.5277
_cell_angle_alpha 90.00
_cell_angle_beta 90.00
_cell_angle_gamma 120.00
loop_
_atom_site_label
_atom_site_type_symbol
_atom_site_fract_x
_atom_site_fract_y
_atom_site_fract_z
La1 La 0.0000 0.0000 0.1427
Tb1 Tb 0.0000 0.0000 0.0000
Zn1 Zn 0.0000 0.0000 0.3348
Zn2 Zn 0.0000 0.0000 0.5000
Zn3 Zn 0.0030 0.5015 0.9210
```

As for the crystal system: trigonal. Its volume is 19.43 Å³ per atom. Its energy relative to the elements is -0.286 eV per atom.


5.
VASP calculation (PBE-GGA) on a relaxed structure of TaAlZn.

Structure (CIF):
```
data_TaAlZn
_chemical_formula_sum 'Ta2 Al2 Zn2'
_space_group_name_H-M_alt 'I m m 2'
_space_group_IT_number 44
_space_group_name_Hall 'I 2 -2'
_cell_length_a 2.803
_cell_length_b 3.576
_cell_length_c 9.602
_cell_angle_alpha 90.00
_cell_angle_beta 90.00
_cell_angle_gamma 90.00
loop_
_atom_site_label
_atom_site_type_symbol
_atom_site_fract_x
_atom_site_fract_y
_atom_site_fract_z
Ta1 Ta 0.000 0.000 0.000
Al1 Al 0.000 0.000 0.326
Zn1 Zn 0.000 0.000 0.677
```

As for the crystal system: orthorhombic. Its volume is 16.04 Å³ per atom. Its energy relative to the elements is 0.033 eV per atom.


6.
VASP calculation (PBE-GGA) on a relaxed structure of Dy2ThTc.

Structure (CIF):
```
data_Dy2ThTc
_chemical_formula_sum 'Dy8 Th4 Tc4'
_space_group_name_H-M_alt 'P n m a'
_space_group_IT_number 62
_space_group_name_Hall '-P 2ac 2n'
_cell_length_a 7.333
_cell_length_b 9.530
_cell_length_c 6.378
_cell_angle_alpha 90.00
_cell_angle_beta 90.00
_cell_angle_gamma 90.00
loop_
_atom_site_label
_atom_site_type_symbol
_atom_site_fract_x
_atom_site_fract_y
_atom_site_fract_z
Dy1 Dy 0.175 0.067 0.169
Th1 Th 0.050 0.250 0.643
Tc1 Tc 0.128 0.750 0.984
```

The value obtained for the energy above the most stable polymorph in this dataset is 0.0000 eV per atom. As for the crystal system: orthorhombic. Its volume is 27.86 Å³ per atom. Its energy relative to the elements is -0.161 eV per atom.


7.
VASP calculation (PBE-GGA) on a relaxed structure of Ta2CrOs.

Structure (CIF):
```
data_Ta2CrOs
_chemical_formula_sum 'Ta8 Cr4 Os4'
_space_group_name_H-M_alt 'F m -3 m'
_space_group_IT_number 225
_space_group_name_Hall '-F 4 2 3'
_cell_length_a 6.292
_cell_length_b 6.292
_cell_length_c 6.292
_cell_angle_alpha 90.00
_cell_angle_beta 90.00
_cell_angle_gamma 90.00
loop_
_atom_site_label
_atom_site_type_symbol
_atom_site_fract_x
_atom_site_fract_y
_atom_site_fract_z
Ta1 Ta 0.250 0.250 0.250
Cr1 Cr 0.000 0.000 0.000
Os1 Os 0.000 0.000 0.500
```

The value obtained for the energy above the most stable polymorph in this dataset is 0.0000 eV per atom. As for the crystal system: cubic. Its volume is 15.57 Å³ per atom. Its energy relative to the elements is -0.310 eV per atom.


8.
VASP calculation (PBE-GGA) on a relaxed structure of Ac5Sm4In4.

Structure (CIF):
```
data_Ac5Sm4In4
_chemical_formula_sum 'Ac10 Sm8 In8'
_space_group_name_H-M_alt 'I 4/m'
_space_group_IT_number 87
_space_group_name_Hall '-I 4'
_cell_length_a 13.512
_cell_length_b 13.512
_cell_length_c 5.139
_cell_angle_alpha 90.00
_cell_angle_beta 90.00
_cell_angle_gamma 90.00
loop_
_atom_site_label
_atom_site_type_symbol
_atom_site_fract_x
_atom_site_fract_y
_atom_site_fract_z
Ac1 Ac 0.000 0.000 0.000
Ac2 Ac 0.121 0.799 0.500
Sm1 Sm 0.088 0.402 0.500
In1 In 0.074 0.246 0.000
```

As for the crystal system: tetragonal. Its volume is 36.09 Å³ per atom. Its energy relative to the elements is -0.281 eV per atom.


9.
VASP calculation (PBE-GGA) on a relaxed structure of SiHgP2S.

Structure (CIF):
```
data_SiHgP2S
_chemical_formula_sum 'Si1 Hg1 P2 S1'
_space_group_name_H-M_alt 'P 4/m m m'
_space_group_IT_number 123
_space_group_name_Hall '-P 4 2'
_cell_length_a 4.666
_cell_length_b 4.666
_cell_length_c 4.471
_cell_angle_alpha 90.00
_cell_angle_beta 90.00
_cell_angle_gamma 90.00
loop_
_atom_site_label
_atom_site_type_symbol
_atom_site_fract_x
_atom_site_fract_y
_atom_site_fract_z
Si1 Si 0.000 0.000 0.000
Hg1 Hg 0.500 0.500 0.500
P1 P 0.000 0.500 0.000
S1 S 0.000 0.000 0.500
```

The value obtained for the energy above the most stable polymorph in this dataset is 0.0000 eV per atom. As for the crystal system: tetragonal. Its volume is 19.47 Å³ per atom.


10.
VASP calculation (PBE-GGA) on a relaxed structure of MoRu3.

Structure (CIF):
```
data_MoRu3
_chemical_formula_sum 'Mo4 Ru12'
_space_group_name_H-M_alt 'F m -3 m'
_space_group_IT_number 225
_space_group_name_Hall '-F 4 2 3'
_cell_length_a 6.190
_cell_length_b 6.190
_cell_length_c 6.190
_cell_angle_alpha 90.00
_cell_angle_beta 90.00
_cell_angle_gamma 90.00
loop_
_atom_site_label
_atom_site_type_symbol
_atom_site_fract_x
_atom_site_fract_y
_atom_site_fract_z
Mo1 Mo 0.000 0.000 0.000
Ru1 Ru 0.000 0.000 0.500
Ru2 Ru 0.250 0.250 0.250
```

The value obtained for the energy above the most stable polymorph in this dataset is 0.4763 eV per atom. As for the crystal system: cubic. Its volume is 14.82 Å³ per atom. Its energy relative to the elements is 0.421 eV per atom.


11.
VASP calculation (PBE-GGA) on a relaxed structure of La2PmTh.

Structure (CIF):
```
data_La2PmTh
_chemical_formula_sum 'La2 Pm1 Th1'
_space_group_name_H-M_alt 'P 4/m m m'
_space_group_IT_number 123
_space_group_name_Hall '-P 4 2'
_cell_length_a 3.628
_cell_length_b 3.628
_cell_length_c 10.554
_cell_angle_alpha 90.00
_cell_angle_beta 90.00
_cell_angle_gamma 90.00
loop_
_atom_site_label
_atom_site_type_symbol
_atom_site_fract_x
_atom_site_fract_y
_atom_site_fract_z
La1 La 0.000 0.000 0.235
Pm1 Pm 0.500 0.500 0.500
Th1 Th 0.500 0.500 0.000
```

The value obtained for the energy above the most stable polymorph in this dataset is 0.0064 eV per atom. As for the crystal system: tetragonal. Its volume is 34.74 Å³ per atom. Its energy relative to the elements is 0.032 eV per atom.


12.
VASP calculation (PBE-GGA) on a relaxed structure of K2NiBr5.

Structure (CIF):
```
data_K2NiBr5
_chemical_formula_sum 'K4 Ni2 Br10'
_space_group_name_H-M_alt 'I 4 m m'
_space_group_IT_number 107
_space_group_name_Hall 'I 4 -2'
_cell_length_a 7.597
_cell_length_b 7.597
_cell_length_c 9.267
_cell_angle_alpha 90.00
_cell_angle_beta 90.00
_cell_angle_gamma 90.00
loop_
_atom_site_label
_atom_site_type_symbol
_atom_site_fract_x
_atom_site_fract_y
_atom_site_fract_z
K1 K 0.000 0.500 0.000
Ni1 Ni 0.000 0.000 0.221
Br1 Br 0.000 0.000 0.957
Br2 Br 0.220 0.220 0.254
```

For the total energy, the calculation gives -3.042 eV/atom. As for the crystal system: tetragonal. Its volume is 33.43 Å³ per atom.


Values of magnetic moment, in order: 2.87, 1.85, 0.00, 0.00, 0.00, 0.00, 0.00, 0.00, 0.37, 10.02, 0.00, 1.96, all in Bohr magnetons per cell.